## one
Density functional theory data (PBE) for a geometry-optimized BaCa2AgPd structure.

Cell and atoms, written as POSCAR:
```
BaCa2AgPd
1.0
5.4760 0.0000 0.0000
0.0000 5.4760 0.0000
0.0000 0.0000 5.5963
Ag Pd Ba Ca
1 1 1 2
direct
0.0000 0.0000 0.5000
0.0000 0.0000 0.0000
0.5000 0.5000 0.5000
0.0000 0.5000 0.0000
0.5000 0.0000 0.0000
```

Symmetry: P4/mmm

## two
Density functional theory data (PBE) for a geometry-optimized BaCa2AgPd structure.

Cell and atoms, written as POSCAR:
```
BaCa2AgPd
1.0
5.5278 0.0000 0.0000
0.0000 5.5278 0.0000
0.0000 0.0000 6.1822
Ba Ca Ag Pd
1 2 1 1
direct
0.0000 0.0000 0.5000
0.5000 0.0000 0.0000
0.0000 0.5000 0.0000
0.5000 0.5000 0.5000
0.0000 0.0000 0.0000
```

Symmetry: P4/mmm

Which one is most stable, and which one is least stable? two is the most stable of them, while one is the least stable.

## one
Density functional theory data (PBE) for a geometry-optimized RbBa2CaAg structure.

Cell and atoms, written as POSCAR:
```
RbBa2CaAg
1.0
6.5710 0.0000 0.0000
0.0000 6.5710 0.0000
0.0000 0.0000 6.6775
Rb Ba Ca Ag
1 2 1 1
direct
0.0000 0.0000 0.5000
0.0000 0.5000 0.0000
0.5000 0.0000 0.0000
0.5000 0.5000 0.5000
0.0000 0.0000 0.0000
```

Symmetry: P4/mmm

## two
Density functional theory data (PBE) for a geometry-optimized RbBa2CaAg structure.

Cell and atoms, written as POSCAR:
```
RbBa2CaAg
1.0
6.6862 0.0000 0.0000
0.0000 6.6862 0.0000
0.0000 0.0000 6.1384
Ca Ag Rb Ba
1 1 1 2
direct
0.0000 0.0000 0.5000
0.0000 0.0000 0.0000
0.5000 0.5000 0.5000
0.5000 0.0000 0.0000
0.0000 0.5000 0.0000
```

Symmetry: P4/mmm

Which one is most stable, and which one is least stable? two is the most stable of them, while one is the least stable.

## one
Density functional theory data (PBE) for a geometry-optimized BaCdAg3 structure.

Cell and atoms, written as POSCAR:
```
BaCdAg3
1.0
-2.0072 -5.8157 -0.6138
0.9419 -1.0540 6.9064
-6.1866 2.3877 -2.3907
Ag Ba Cd
6 2 2
direct
0.7500 0.6013 0.8008
0.2499 0.8006 0.1993
0.7500 0.1993 0.3987
0.7501 0.1994 0.8007
0.2500 0.8007 0.6013
0.2500 0.3987 0.1992
0.2500 0.3333 0.6666
0.7500 0.6667 0.3334
0.5000 0.0000 0.0000
0.0000 0.0000 0.0000
```

Symmetry: P6_3/mmc

## two
Density functional theory data (PBE) for a geometry-optimized BaCdAg3 structure.

Cell and atoms, written as POSCAR:
```
BaCdAg3
1.0
6.2319 0.0000 0.0000
0.0000 6.2319 0.0000
0.0000 0.0000 6.2319
Ag Ba Cd
3 1 1
direct
0.0000 0.0000 0.5000
0.0000 0.5000 0.0000
0.5000 0.0000 0.0000
0.0000 0.0000 0.0000
0.5000 0.5000 0.5000
```

Symmetry: Pm-3m

Which one is most stable, and which one is least stable? one is the most stable of them, while two is the least stable.